No. 1
Pm3NdMg2 | PBE | optimized geometry

## Properties
volume: 30.99 Å³/atom
final energy: -3.762 eV/atom
ΔE_f: -0.06 eV/atom

Unit cell a=3.7882 b=3.7882 c=12.9571 alpha=90.00 beta=90.00 gamma=90.00
With the nearest neighbours (Å) after each atom.
Space group P4/mmm (No. 123)
Symmetry-distinct sites (fractional):
1 Pm 0.0000 0.0000 0.0000 x1  8 Mg 3.32
2 Pm 0.0000 0.0000 0.3049 x2  4 Mg 3.33, 4 Nd 3.68
3 Nd 0.5000 0.5000 0.5000 x1  8 Pm 3.68, 4 Nd 3.79
4 Mg 0.5000 0.5000 0.1520 x2  8 Pm 3.32-3.33

---

No. 2
Pm3NdMg4 | PBE | optimized geometry

## Properties
volume: 28.99 Å³/atom
final energy: -3.285 eV/atom
ΔE_f: -0.11 eV/atom

Unit cell a=3.8770 b=5.4696 c=10.9355 alpha=90.00 beta=90.00 gamma=90.00
With the nearest neighbours (Å) after each atom.
Space group Pmmm (No. 47)
Symmetry-distinct sites (fractional):
1 Pm 0.0000 0.0000 0.0000 x1  8 Mg 3.34-3.35
2 Pm 0.0000 0.5000 0.2495 x2  8 Mg 3.35-3.36
3 Nd 0.0000 0.0000 0.5000 x1  8 Mg 3.35-3.36
4 Mg 0.5000 0.0000 0.2492 x2  6 Pm 3.34-3.35, 2 Nd 3.36
5 Mg 0.5000 0.5000 0.0000 x1  8 Pm 3.35
6 Mg 0.5000 0.5000 0.5000 x1  4 Nd 3.35, 4 Pm 3.36

---

No. 3
PmNdMg6 | PBE | optimized geometry

## Properties
volume: 26.19 Å³/atom
final energy: -2.485 eV/atom
ΔE_f: -0.10 eV/atom

Unit cell a=6.8063 b=6.8063 c=5.2216 alpha=90.00 beta=90.00 gamma=120.00
With the nearest neighbours (Å) after each atom.
Space group P-6m2 (No. 187)
Symmetry-distinct sites (fractional):
1 Pm 0.0000 0.0000 0.0000 x1  12 Mg 3.30-3.40
2 Nd 0.6667 0.3333 0.5000 x1  12 Mg 3.30-3.40
3 Mg 0.0096 0.5048 0.0000 x3  8 Mg 3.24-3.50, 2 Nd 3.30, 2 Pm 3.40
4 Mg 0.1709 0.3419 0.5000 x3  8 Mg 3.24-3.49, 2 Pm 3.30, 2 Nd 3.40

---

No. 4
PmNdMg | PBE | optimized geometry

## Properties
volume: 30.98 Å³/atom
final energy: -3.680 eV/atom
ΔE_f: 0.02 eV/atom

Unit cell a=5.5634 b=5.5634 c=3.4669 alpha=90.00 beta=90.00 gamma=120.00
With the nearest neighbours (Å) after each atom.
Space group P3m1 (No. 156)
Symmetry-distinct sites (fractional):
1 Pm 0.0000 0.0000 0.0000 x1  3 Mg 3.35, 2 Pm 3.47, 3 Nd 3.54
2 Nd 0.3333 0.6667 0.5675 x1  3 Mg 3.36, 2 Nd 3.47, 6 Pm 3.54-3.77
3 Mg 0.6667 0.3333 0.2794 x1  3 Pm 3.35, 3 Nd 3.36, 2 Mg 3.47

---

No. 5
Pm6Nd2Mg | PBE | optimized geometry

## Properties
volume: 33.42 Å³/atom
final energy: -4.389 eV/atom
ΔE_f: 0.01 eV/atom

Unit cell a=10.8136 b=10.8136 c=5.1451 alpha=90.00 beta=90.00 gamma=90.00
With the nearest neighbours (Å) after each atom.
Space group P4_2/mnm (No. 136)
Symmetry-distinct sites (fractional):
1 Pm 0.0005 0.3324 0.0000 x8  1 Mg 3.59, 8 Pm 3.61-3.63, 3 Nd 3.61-3.62
2 Pm 0.1663 0.1663 0.5000 x4  4 Nd 3.59-3.64, 6 Pm 3.61, 2 Mg 3.62
3 Nd 0.1652 0.8348 0.5000 x4  10 Pm 3.59-3.64, 2 Mg 3.61
4 Mg 0.0000 0.0000 0.0000 x2  8 Pm 3.59-3.62, 4 Nd 3.61

---

No. 6
Pm7Nd12Mg | PBE | optimized geometry

## Properties
volume: 35.08 Å³/atom
final energy: -4.418 eV/atom
ΔE_f: 0.19 eV/atom

Unit cell a=12.3508 b=12.3508 c=15.9319 alpha=90.00 beta=90.00 gamma=120.00
With the nearest neighbours (Å) after each atom.
Space group R-3 (No. 148, hexagonal axes)
Symmetry-distinct sites (fractional):
1 Pm 0.0000 0.0000 0.0000 x3  6 Nd 3.34
2 Pm 0.0556 0.8691 0.2966 x18  3 Pm 3.48-3.55, 7 Nd 3.63-3.84, 1 Mg 3.83
3 Nd 0.0299 0.5791 0.2155 x18  5 Nd 3.33-3.69, 1 Mg 3.43, 2 Pm 3.64-3.67
4 Nd 0.0556 0.4682 0.5834 x18  4 Nd 3.26-3.52, 2 Pm 3.34-3.63
5 Mg 0.0000 0.0000 0.5000 x3  6 Nd 3.43, 6 Pm 3.83